[1]
The following is a GGA-PBE calculation of crystalline LaTaIr2 at its relaxed geometry, from Alexandria.

```
4
Lattice="4.697 0.000 0.000 2.349 4.068 0.000 2.349 1.356 3.835" Properties=species:S:1:pos:R:3 pbc="T T T"
Ir 0.000 0.000 0.000
Ir 2.349 1.356 0.959
La 4.697 2.712 1.918
Ta 7.046 4.068 2.876
```

Results
Energy, eV/cell: -34.2
Calculated formation energy, eV per atom: 0.0823
Total magnetization, μB per formula unit: 0.0


[2]
The following is a GGA-PBE calculation of crystalline LaTaIr2 at its relaxed geometry, from Alexandria.

```
4
Lattice="-8.017 -2.596 -4.776 -8.522 -4.056 -2.177 -9.300 -1.147 -2.453" Properties=species:S:1:pos:R:3 pbc="T T T"
Ir -0.283 -0.085 -0.103
Ir -12.637 -3.814 -4.600
La -6.460 -1.950 -2.352
Ta -19.380 -5.850 -7.055
```

Results
Energy, eV/cell: -34.6
Calculated formation energy, eV per atom: -0.0125
Total magnetization, μB per formula unit: 0.5


[3]
The following is a GGA-PBE calculation of crystalline LaTa2Ir at its relaxed geometry, from Alexandria.

```
8
Lattice="-1.838 2.755 -7.276 3.201 -6.547 -3.288 -1.872 -3.217 -5.137" Properties=species:S:1:pos:R:3 pbc="T T T"
Ir 0.000 0.000 0.000
Ir -1.514 -1.179 -8.848
La 0.682 -1.896 -5.282
La 1.005 -5.830 -6.853
Ta -1.333 0.274 -6.705
Ta 1.420 -4.726 -3.787
Ta -1.096 -3.419 -7.606
Ta -0.008 -6.146 -13.305
```

Results
Energy, eV/cell: -72.5
Calculated formation energy, eV per atom: 0.3072
Total magnetization, μB per formula unit: 0.0


[4]
The following is a GGA-PBE calculation of crystalline LaTa2Ir at its relaxed geometry, from Alexandria.

```
4
Lattice="2.980 0.000 0.000 0.000 3.759 0.000 0.000 0.000 7.605" Properties=species:S:1:pos:R:3 pbc="T T T"
Ir 1.490 1.880 1.901
La 1.490 1.880 5.704
Ta 0.000 0.000 0.539
Ta 0.000 0.000 3.264
```

Results
Energy, eV/cell: -37.2
Calculated formation energy, eV per atom: 0.0711
Total magnetization, μB per formula unit: 0.0


[5]
The following is a GGA-PBE calculation of crystalline La2TaIr at its relaxed geometry, from Alexandria.

```
4
Lattice="-0.778 1.884 -7.822 2.674 -0.671 -7.599 -1.272 -2.383 -7.619" Properties=species:S:1:pos:R:3 pbc="T T T"
Ir 0.486 -0.911 -17.946
La 0.020 -0.038 -0.751
La 0.138 -0.258 -5.091
Ta 0.292 -0.547 -10.771
```

Results
Energy, eV/cell: -31.3
Calculated formation energy, eV per atom: -0.1742
Total magnetization, μB per formula unit: 0.8


[6]
The following is a GGA-PBE calculation of crystalline LaTaIr2 at its relaxed geometry, from Alexandria.

```
4
Lattice="5.237 -0.002 -0.003 4.356 2.908 -0.003 0.657 0.199 5.150" Properties=species:S:1:pos:R:3 pbc="T T T"
Ir 0.049 0.015 0.235
Ir 7.529 2.281 3.875
La 5.050 1.530 2.795
Ta 2.747 0.832 0.810
```

Results
Energy, eV/cell: -35.3
Calculated formation energy, eV per atom: -0.1953
Total magnetization, μB per formula unit: 0.0


[7]
The following is a GGA-PBE calculation of crystalline La2TaIr at its relaxed geometry, from Alexandria.

```
4
Lattice="-0.627 3.277 -0.378 -1.969 -0.064 2.719 6.863 1.890 5.013" Properties=species:S:1:pos:R:3 pbc="T T T"
Ir 3.849 3.024 4.931
La 6.668 1.837 4.870
La 3.626 0.999 2.649
Ta 0.418 2.079 2.424
```

Results
Energy, eV/cell: -29.9
Calculated formation energy, eV per atom: 0.1650
Total magnetization, μB per formula unit: 0.0


[8]
The following is a GGA-PBE calculation of crystalline LaTa2Ir at its relaxed geometry, from Alexandria.

```
4
Lattice="-0.518 2.075 -5.249 2.325 -4.955 0.357 -2.157 -1.763 -0.997" Properties=species:S:1:pos:R:3 pbc="T T T"
Ir 0.903 -1.440 -2.446
La -1.338 0.156 -3.123
Ta 0.000 0.000 0.000
Ta 0.084 -3.359 -0.320
```

Results
Energy, eV/cell: -36.6
Calculated formation energy, eV per atom: 0.2351
Total magnetization, μB per formula unit: 0.0


[9]
The following is a GGA-PBE calculation of crystalline LaTa2Ir at its relaxed geometry, from Alexandria.

```
4
Lattice="-2.290 0.239 -4.516 -3.012 -2.283 1.407 -1.967 3.319 1.173" Properties=species:S:1:pos:R:3 pbc="T T T"
Ir -2.651 -1.022 -1.555
La -2.129 1.779 -1.671
Ta 0.000 0.000 0.000
Ta -2.490 0.518 1.290
```

Results
Energy, eV/cell: -36.3
Calculated formation energy, eV per atom: 0.2890
Total magnetization, μB per formula unit: 0.0


[10]
The following is a GGA-PBE calculation of crystalline La3TaIr at its relaxed geometry, from Alexandria.

```
5
Lattice="5.515 0.000 0.000 0.000 5.515 0.000 0.000 0.000 5.515" Properties=species:S:1:pos:R:3 pbc="T T T"
Ir 0.000 0.000 0.000
La 0.000 2.757 0.000
La 0.000 0.000 2.757
La 2.757 0.000 0.000
Ta 2.757 2.757 2.757
```

Results
Energy, eV/cell: -33.2
Calculated formation energy, eV per atom: 0.4658
Total magnetization, μB per formula unit: 0.0


[11]
The following is a GGA-PBE calculation of crystalline LaTaIr at its relaxed geometry, from Alexandria.

```
3
Lattice="-1.242 -1.269 -4.223 3.142 -1.586 -2.932 0.021 -4.432 -1.159" Properties=species:S:1:pos:R:3 pbc="T T T"
Ir 0.960 -3.643 -4.157
La 1.441 -5.465 -6.235
Ta 0.000 0.000 0.000
```

Results
Energy, eV/cell: -22.3
Calculated formation energy, eV per atom: 1.1178
Total magnetization, μB per formula unit: 0.0


[12]
The following is a GGA-PBE calculation of crystalline La2TaIr at its relaxed geometry, from Alexandria.

```
4
Lattice="-8.067 -1.003 3.296 -5.869 -3.366 5.584 -0.023 2.406 2.507" Properties=species:S:1:pos:R:3 pbc="T T T"
Ir -3.490 -0.491 2.847
La -1.347 1.764 3.111
La -5.656 -0.340 5.090
Ta -10.470 -1.472 8.540
```

Results
Energy, eV/cell: -30.6
Calculated formation energy, eV per atom: -0.0016
Total magnetization, μB per formula unit: 0.0